# 1
The following is a DFT calculation (PBEsol) of a relaxed structure of Si2TePtCl.

Computed properties:
Calculated density   5.39 Mg/m³

a = 5.138 Å, b = 5.138 Å, c = 4.836 Å
α = 90.00°, β = 90.00°, γ = 90.00°
Space group P4/mmm (No. 123)
One atom of each set of equivalent atoms:
Si (0.000, 0.500, 0.000) [2 per cell]
Te (0.000, 0.000, 0.000) [1 per cell]
Pt (0.500, 0.500, 0.500) [1 per cell]
Cl (0.000, 0.000, 0.500) [1 per cell]



# 2
The following is a DFT calculation (PBEsol) of a relaxed structure of SnPtCl2.

Computed properties:
Calculated density   8.23 Mg/m³

a = 6.770 Å, b = 6.770 Å, c = 6.770 Å
α = 90.00°, β = 90.00°, γ = 90.00°
Space group Fm-3m (No. 225)
One atom of each set of equivalent atoms:
Sn (0.000, 0.000, 0.000) [4 per cell]
Pt (0.000, 0.000, 0.500) [4 per cell]
Cl (0.250, 0.250, 0.250) [8 per cell]



# 3
The following is a DFT calculation (PBEsol) of a relaxed structure of Sr2PtCl.

Computed properties:
Calculated density   6.66 Mg/m³
Relative energy among the computed polymorphs   188 meV per atom

a = 7.395 Å, b = 7.395 Å, c = 7.395 Å
α = 90.00°, β = 90.00°, γ = 90.00°
Space group Fm-3m (No. 225)
One atom of each set of equivalent atoms:
Sr (0.250, 0.250, 0.250) [8 per cell]
Pt (0.000, 0.000, 0.000) [4 per cell]
Cl (0.000, 0.000, 0.500) [4 per cell]



# 4
The following is a DFT calculation (PBEsol) of a relaxed structure of Sr2PtCl.

Computed properties:
Calculated density   5.84 Mg/m³
Relative energy among the computed polymorphs   0 meV per atom

a = 4.2079 Å, b = 4.2079 Å, c = 22.5894 Å
α = 90.00°, β = 90.00°, γ = 120.00°
Space group R-3m (No. 166, hexagonal axes)
One atom of each set of equivalent atoms:
Sr (0.0000, 0.0000, 0.2412) [6 per cell]
Pt (0.0000, 0.0000, 0.5000) [3 per cell]
Cl (0.0000, 0.0000, 0.0000) [3 per cell]



# 5
The following is a DFT calculation (PBEsol) of a relaxed structure of SrPtCl4.

Computed properties:
Calculated density   5.32 Mg/m³

a = 8.094 Å, b = 8.094 Å, c = 8.094 Å
α = 90.00°, β = 90.00°, γ = 90.00°
Space group F-43m (No. 216)
One atom of each set of equivalent atoms:
Sr (0.000, 0.000, 0.000) [4 per cell]
Pt (0.250, 0.250, 0.750) [4 per cell]
Cl (0.124, 0.124, 0.376) [16 per cell]



# 6
The following is a DFT calculation (PBEsol) of a relaxed structure of SrZnPtCl2.

Computed properties:
Calculated density   5.15 Mg/m³

a = 4.889 Å, b = 4.889 Å, c = 5.654 Å
α = 90.00°, β = 90.00°, γ = 90.00°
Space group P4/mmm (No. 123)
One atom of each set of equivalent atoms:
Sr (0.000, 0.000, 0.000) [1 per cell]
Zn (0.500, 0.500, 0.000) [1 per cell]
Pt (0.000, 0.000, 0.500) [1 per cell]
Cl (0.000, 0.500, 0.500) [2 per cell]



Listing uncorrected formation energy for the structures above in their given order: 1.434, 0.153, -1.092, -1.281, 0.027, -0.317 eV per atom.